No. 1
3
Lattice="4.317 0.000 0.000 2.158 3.738 0.000 2.158 1.246 3.524" Properties=species:S:1:pos:R:3 comment="PBE-GGA TcSbRu, relaxed" dos_at_fermi_per_ev_cell=3.317 rho_g_cm3=9.37 de_polymorph_ev_per_atom=0.009 e_form_raw_ev_per_fu=0.700 sg=F-43m pbc="T T T"
Tc 2.158 1.246 0.881
Sb 4.317 2.492 1.762
Ru 0.000 0.000 0.000

No. 2
4
Lattice="-0.072 -0.871 -5.786 0.030 -5.271 -2.539 -2.605 3.693 3.717" Properties=species:S:1:pos:R:3 comment="PBE-GGA TcSb2Ru, relaxed" dos_at_fermi_per_ev_cell=4.078 rho_g_cm3=9.95 de_polymorph_ev_per_atom=0.195 e_form_raw_ev_per_fu=1.144 sg=Imm2 pbc="T T T"
Tc -0.022 -3.174 -4.302
Sb -0.001 -0.081 -0.109
Sb -1.348 -0.049 -3.014
Ru -1.297 -2.216 -1.345

No. 3
3
Lattice="5.993 -0.002 0.002 5.247 2.895 0.000 0.746 0.194 2.891" Properties=species:S:1:pos:R:3 comment="PBE-GGA TcSbRu, relaxed" dos_at_fermi_per_ev_cell=1.984 rho_g_cm3=10.61 de_polymorph_ev_per_atom=0.000 e_form_raw_ev_per_fu=0.673 sg=I4mm pbc="T T T"
Ru 0.890 0.231 2.851
Sb 4.235 1.092 1.931
Tc 7.607 1.959 1.002

No. 4
6
Lattice="0.000 3.643 3.643 3.643 0.000 3.643 3.643 3.643 0.000" Properties=species:S:1:pos:R:3 comment="PBE-GGA Tc4SbRu, relaxed" dos_at_fermi_per_ev_cell=8.867 rho_g_cm3=10.56 e_form_raw_ev_per_fu=3.206 sg=F-43m pbc="T T T"
Tc 4.548 4.548 4.548
Ru 1.822 1.822 1.822
Tc 2.738 4.548 2.738
Tc 2.738 2.738 4.548
Tc 4.548 2.738 2.738
Sb 0.000 0.000 0.000